[1]
Computed, not measured: a relaxed Ho3Mg8Sc crystal at the PBE level of DFT.

abc: 6.001 6.001 9.663
angles: 90.00 90.00 120.00
Element x y z (fractional)
1 Ho 0.000 0.000 0.000
2 Ho 0.000 0.000 0.373
3 Ho 0.333 0.667 0.864
4 Mg 0.009 0.505 0.186
5 Mg 0.325 0.163 0.682
6 Mg 0.495 0.505 0.186
7 Mg 0.495 0.991 0.186
8 Mg 0.667 0.333 0.434
9 Mg 0.667 0.333 0.934
10 Mg 0.837 0.163 0.682
11 Mg 0.837 0.675 0.682
12 Sc 0.333 0.667 0.495

## Properties
ΔH_f (0 K) = -0.042 eV per atom
size of the total moment = 0.000 Bohr magnetons per cell
DOS(E_F) = 13.3 states/eV/f.u.

[2]
Computed, not measured: a relaxed AcSm3Tl2 crystal at the PBE level of DFT.

abc: 9.035 9.035 9.461
angles: 116.63 116.63 35.82
Element x y z (fractional)
1 Ac 0.130 0.130 0.177
2 Ac 0.870 0.870 0.823
3 Sm 0.063 0.063 0.713
4 Sm 0.304 0.304 0.009
5 Sm 0.383 0.383 0.464
6 Sm 0.617 0.617 0.536
7 Sm 0.696 0.696 0.991
8 Sm 0.937 0.937 0.287
9 Tl 0.224 0.224 0.601
10 Tl 0.492 0.492 0.833
11 Tl 0.508 0.508 0.167
12 Tl 0.776 0.776 0.399

## Properties
ΔH_f (0 K) = -0.183 eV per atom
size of the total moment = 0.000 Bohr magnetons per cell
DOS(E_F) = 6.8 states/eV/f.u.

[3]
Computed, not measured: a relaxed AcNpTe2O8 crystal at the PBE level of DFT.

abc: 6.490 6.490 7.179
angles: 116.65 116.65 48.64
Element x y z (fractional)
1 Ac 0.000 0.000 0.000
2 Np 0.500 0.500 0.500
3 Te 0.206 0.206 0.620
4 Te 0.794 0.794 0.380
5 O 0.218 0.725 0.285
6 O 0.260 0.260 0.395
7 O 0.275 0.782 0.715
8 O 0.366 0.366 0.870
9 O 0.634 0.634 0.130
10 O 0.725 0.218 0.285
11 O 0.740 0.740 0.605
12 O 0.782 0.275 0.715

## Properties
uncorrected formation energy = -1.8668 eV per atom
size of the total moment = 0.866 Bohr magnetons per cell
DOS(E_F) = 3.7 states/eV/f.u.

[4]
Computed, not measured: a relaxed GaP2Pt6 crystal at the PBE level of DFT.

abc: 8.059 8.059 5.347
angles: 107.92 107.92 78.69
Element x y z (fractional)
1 Ga 0.231 0.769 0.750
2 Ga 0.769 0.231 0.250
3 P 0.093 0.370 0.676
4 P 0.370 0.093 0.176
5 P 0.630 0.907 0.824
6 P 0.907 0.630 0.324
7 Pt 0.087 0.129 0.231
8 Pt 0.129 0.087 0.731
9 Pt 0.187 0.478 0.375
10 Pt 0.316 0.523 0.986
11 Pt 0.477 0.684 0.514
12 Pt 0.478 0.187 0.875
13 Pt 0.522 0.813 0.125
14 Pt 0.523 0.316 0.486
15 Pt 0.684 0.477 0.014
16 Pt 0.813 0.522 0.625
17 Pt 0.871 0.913 0.269
18 Pt 0.913 0.871 0.769

## Properties
ΔH_f (0 K) = -0.301 eV per atom
size of the total moment = 0.000 Bohr magnetons per cell
DOS(E_F) = 3.9 states/eV/f.u.

[5]
Computed, not measured: a relaxed K2In2Sb2O crystal at the PBE level of DFT.

abc: 13.532 4.543 8.180
angles: 90.00 121.17 90.00
Element x y z (fractional)
1 K 0.046 0.000 0.279
2 K 0.454 0.500 0.721
3 K 0.546 0.500 0.279
4 K 0.954 0.000 0.721
5 In 0.174 0.500 0.069
6 In 0.326 0.000 0.931
7 In 0.674 0.000 0.069
8 In 0.826 0.500 0.931
9 Sb 0.187 0.500 0.716
10 Sb 0.313 0.000 0.284
11 Sb 0.687 0.000 0.716
12 Sb 0.813 0.500 0.284
13 O 0.000 0.500 0.000
14 O 0.500 0.000 0.000

## Properties
uncorrected formation energy = -0.6763 eV per atom
size of the total moment = 0.000 Bohr magnetons per cell

[6]
Computed, not measured: a relaxed Ca2NiBr crystal at the PBE level of DFT.

abc: 4.001 4.001 22.842
angles: 90.00 90.00 120.00
Element x y z (fractional)
1 Ca 0.000 0.000 0.236
2 Ca 0.000 0.000 0.764
3 Ca 0.333 0.667 0.431
4 Ca 0.333 0.667 0.903
5 Ca 0.667 0.333 0.097
6 Ca 0.667 0.333 0.569
7 Ni 0.000 0.000 0.500
8 Ni 0.333 0.667 0.167
9 Ni 0.667 0.333 0.833
10 Br 0.000 0.000 0.000
11 Br 0.333 0.667 0.667
12 Br 0.667 0.333 0.333

## Properties
uncorrected formation energy = -0.7079 eV per atom
size of the total moment = 0.000 Bohr magnetons per cell
DOS(E_F) = 2.1 states/eV/f.u.

[7]
Computed, not measured: a relaxed Cd3Pt crystal at the PBE level of DFT.

abc: 3.078 3.078 9.640
angles: 90.00 90.00 120.00
Element x y z (fractional)
1 Cd 0.000 0.000 0.000
2 Cd 0.667 0.333 0.270
3 Cd 0.667 0.333 0.730
4 Pt 0.000 0.000 0.500

## Properties
ΔH_f (0 K) = -0.090 eV per atom
size of the total moment = 0.000 Bohr magnetons per cell
DOS(E_F) = 0.7 states/eV/f.u.

[8]
Computed, not measured: a relaxed Mg3InSn crystal at the PBE level of DFT.

abc: 5.107 5.401 8.993
angles: 90.04 105.01 90.00
Element x y z (fractional)
1 Mg 0.060 0.251 0.297
2 Mg 0.143 0.750 0.106
3 Mg 0.337 0.749 0.502
4 Mg 0.663 0.251 0.498
5 Mg 0.857 0.250 0.894
6 Mg 0.940 0.749 0.703
7 In 0.240 0.249 0.671
8 In 0.760 0.751 0.329
9 Sn 0.464 0.250 0.111
10 Sn 0.536 0.750 0.889

## Properties
ΔH_f (0 K) = -0.063 eV per atom
size of the total moment = 0.000 Bohr magnetons per cell
DOS(E_F) = 2.1 states/eV/f.u.

[9]
Computed, not measured: a relaxed RuRh2Cl crystal at the PBE level of DFT.

abc: 6.215 6.215 6.215
angles: 90.00 90.00 90.00
Element x y z (fractional)
1 Ru 0.000 0.000 0.000
2 Ru 0.000 0.500 0.500
3 Ru 0.500 0.000 0.500
4 Ru 0.500 0.500 0.000
5 Rh 0.250 0.250 0.250
6 Rh 0.250 0.250 0.750
7 Rh 0.250 0.750 0.250
8 Rh 0.250 0.750 0.750
9 Rh 0.750 0.250 0.250
10 Rh 0.750 0.250 0.750
11 Rh 0.750 0.750 0.250
12 Rh 0.750 0.750 0.750
13 Cl 0.000 0.000 0.500
14 Cl 0.000 0.500 0.000
15 Cl 0.500 0.000 0.000
16 Cl 0.500 0.500 0.500

## Properties
uncorrected formation energy = 0.8140 eV per atom
size of the total moment = 0.038 Bohr magnetons per cell
DOS(E_F) = 6.5 states/eV/f.u.

[10]
Computed, not measured: a relaxed RbBaTe2N crystal at the PBE level of DFT.

abc: 6.761 6.761 5.365
angles: 90.00 90.00 90.00
Element x y z (fractional)
1 Rb 0.000 0.000 0.000
2 Ba 0.500 0.500 0.500
3 Te 0.000 0.500 0.500
4 Te 0.500 0.000 0.500
5 N 0.500 0.500 0.000

## Properties
uncorrected formation energy = 0.1785 eV per atom
size of the total moment = 3.952 Bohr magnetons per cell
DOS(E_F) = 5.4 states/eV/f.u.

[11]
Computed, not measured: a relaxed Nd6CdSn3 crystal at the PBE level of DFT.

abc: 9.937 9.937 6.796
angles: 90.00 90.00 106.78
Element x y z (fractional)
1 Nd 0.058 0.476 0.092
2 Nd 0.066 0.934 0.500
3 Nd 0.263 0.334 0.762
4 Nd 0.283 0.717 0.715
5 Nd 0.334 0.263 0.262
6 Nd 0.476 0.058 0.592
7 Nd 0.524 0.942 0.092
8 Nd 0.666 0.737 0.762
9 Nd 0.717 0.283 0.215
10 Nd 0.737 0.666 0.262
11 Nd 0.934 0.066 0.000
12 Nd 0.942 0.524 0.592
13 Cd 0.230 0.770 0.254
14 Cd 0.770 0.230 0.754
15 Sn 0.017 0.240 0.431
16 Sn 0.240 0.017 0.931
17 Sn 0.414 0.586 0.078
18 Sn 0.586 0.414 0.578
19 Sn 0.760 0.983 0.431
20 Sn 0.983 0.760 0.931

## Properties
ΔH_f (0 K) = -0.406 eV per atom
size of the total moment = 0.000 Bohr magnetons per cell
DOS(E_F) = 7.2 states/eV/f.u.

[12]
Computed, not measured: a relaxed KRe crystal at the PBE level of DFT.

abc: 6.138 15.535 3.769
angles: 90.00 90.00 90.00
Element x y z (fractional)
1 K 0.000 0.000 0.000
2 K 0.000 0.191 0.500
3 K 0.000 0.809 0.500
4 K 0.500 0.309 0.500
5 K 0.500 0.500 0.000
6 K 0.500 0.691 0.500
7 Re 0.000 0.401 0.000
8 Re 0.000 0.500 0.500
9 Re 0.000 0.599 0.000
10 Re 0.500 0.000 0.500
11 Re 0.500 0.099 0.000
12 Re 0.500 0.901 0.000

## Properties
ΔH_f (0 K) = 1.300 eV per atom
size of the total moment = 3.456 Bohr magnetons per cell
DOS(E_F) = 1.7 states/eV/f.u.